No. 1
Compound: Fe2HgAs
Source: the Alexandria database
Functional: PBE-GGA
Structure: optimized geometry

Its crystal system is cubic. The formation energy comes out at 0.6139 eV/atom.

The structure belongs to space group F-43m (No. 216); the cell edges are 6.3499, 6.3499 and 6.3499 Å and the angles 90.00°, 90.00° and 90.00°. The inequivalent atoms are Fe at (0.0000, 0.0000, 0.0000), Fe at (0.2500, 0.2500, 0.2500), Hg at (0.0000, 0.0000, 0.5000) and As at (0.2500, 0.2500, 0.7500).



No. 2
Compound: Be2TeIr
Source: the Alexandria database
Functional: PBE-GGA
Structure: optimized geometry

As for the raw formation energy: -12 kJ per mole of atoms. Its crystal system is trigonal.

The structure belongs to space group P3m1 (No. 156); the cell edges are 3.7878, 3.7878 and 5.3187 Å and the angles 90.00°, 90.00° and 120.00°. The inequivalent atoms are Be at (0.0000, 0.0000, 0.0000), Be at (0.3333, 0.6667, 0.9279), Te at (0.0000, 0.0000, 0.4898) and Ir at (0.6667, 0.3333, 0.8001).



No. 3
Compound: VCrB4
Source: the Alexandria database
Functional: PBE-GGA
Structure: optimized geometry

Its crystal system is hexagonal. The formation energy comes out at -0.5443 eV/atom.

The structure belongs to space group P6/mmm (No. 191); the cell edges are 2.9982, 2.9982 and 5.9721 Å and the angles 90.00°, 90.00° and 120.00°. The inequivalent atoms are V at (0.0000, 0.0000, 0.0000), Cr at (0.0000, 0.0000, 0.5000) and B at (0.3333, 0.6667, 0.2529).



No. 4
Compound: TiReP2
Source: the Alexandria database
Functional: PBE-GGA
Structure: optimized geometry

Its crystal system is cubic. The formation energy comes out at -0.4437 eV/atom.

The structure belongs to space group Fm-3m (No. 225); the cell edges are 6.0054, 6.0054 and 6.0054 Å and the angles 90.00°, 90.00° and 90.00°. The inequivalent atoms are Ti at (0.0000, 0.0000, 0.0000), Re at (0.0000, 0.0000, 0.5000) and P at (0.2500, 0.2500, 0.2500).



No. 5
Compound: InHgSCl2
Source: the Alexandria database
Functional: PBE-GGA
Structure: optimized geometry

As for the raw formation energy: -30 kJ per mole of atoms. Its crystal system is tetragonal.

The structure belongs to space group P4/mmm (No. 123); the cell edges are 5.0669, 5.0669 and 5.1980 Å and the angles 90.00°, 90.00° and 90.00°. The inequivalent atoms are In at (0.0000, 0.0000, 0.0000), Hg at (0.5000, 0.5000, 0.5000), S at (0.0000, 0.0000, 0.5000) and Cl at (0.0000, 0.5000, 0.0000).



No. 6
Compound: MnAl6Ir5
Source: the Alexandria database
Functional: PBE-GGA
Structure: optimized geometry

Its crystal system is monoclinic. The formation energy comes out at -0.8382 eV/atom.

The structure belongs to space group P2/m (No. 10); the cell edges are 4.2446, 5.9958 and 6.7055 Å and the angles 90.00°, 108.31° and 90.00°. The inequivalent atoms are Mn at (0.0000, 0.0000, 0.0000), Al at (0.1637, 0.2449, 0.3266), Al at (0.5000, 0.2432, 0.0000), Ir at (0.0000, 0.5000, 0.0000), Ir at (0.3315, 0.5000, 0.6635) and Ir at (0.3335, 0.0000, 0.6677).



Which calculated total energy belongs to each record? In order, -4.855; -4.985; -8.120; -8.234; -2.482; -7.166 eV per atom.